First-principles (GGA+U) data for crystalline TbCo3Cu4O12 at its relaxed geometry, as listed in the Alexandria database.

- Total energy: -115.1 eV for the cell shown
- SG: Im-3, No. 204
- Calculated density: 6.59 g/cm3
- Volume: 9.8 A^3/atom
- DOS at the Fermi energy: 6.4 states/eV/f.u.

Geometry as POSCAR:
```
TbCo3Cu4O12
1.0
-3.665 3.665 3.665
3.665 -3.665 3.665
3.665 3.665 -3.665
Tb Co Cu O
1 3 4 12
direct
0.000 0.000 0.000
0.000 0.500 0.500
0.500 0.000 0.500
0.500 0.500 0.000
0.000 0.000 0.500
0.000 0.500 0.000
0.500 0.000 0.000
0.500 0.500 0.500
0.137 0.309 0.829
0.171 0.480 0.309
0.171 0.863 0.691
0.309 0.171 0.480
0.309 0.829 0.137
0.480 0.309 0.171
0.520 0.691 0.829
0.691 0.171 0.863
0.691 0.829 0.520
0.829 0.137 0.309
0.829 0.520 0.691
0.863 0.691 0.171
```